Material: CrCoSiGe2
Method: DFT, PBEsol
State: optimized geometry

Unit cell a=4.3748 b=4.4983 c=4.4983 alpha=90.00 beta=90.00 gamma=90.00
Closest atoms and distances in Å follow each position.
Sites, in units of the cell vectors:
Cr  0.0000  0.0000  0.0000  2 Si 2.19, 4 Ge 2.25
Si  0.5000  0.0000  0.0000  2 Cr 2.19
Ge  0.0000  0.0000  0.5000  2 Cr 2.25
Ge  0.0000  0.5000  0.0000  2 Cr 2.25
Co  0.5000  0.5000  0.5000  8 Ge 3.14, 4 Si 3.18

Calculated total energy   -29.48 eV for the cell shown
Crystal system   tetragonal
Uncorrected formation energy   0.825 eV per atom

Material: Ca3Zn
Method: DFT, PBEsol
State: optimized geometry

Unit cell a=3.6376 b=6.4779 c=6.4779 alpha=116.58 beta=100.79 gamma=100.79
Closest atoms and distances in Å follow each position.
Sites, in units of the cell vectors:
Ca  0.5000  0.5000  0.5000  6 Ca 3.40-3.64, 2 Zn 3.40
Ca  0.0000  0.5000  0.0000  6 Ca 3.40-3.64, 2 Zn 3.40
Ca  0.0000  0.0000  0.5000  2 Zn 3.40, 6 Ca 3.40-3.64
Zn  0.5000  0.0000  0.0000  6 Ca 3.40, 2 Zn 3.64

Calculated total energy   -7.53 eV for the cell shown
Crystal system   trigonal
ΔE_f   0.113 eV per atom

Material: ThAlRh
Method: DFT, PBEsol
State: optimized geometry

Unit cell a=4.1398 b=7.0826 c=7.0826 alpha=120.00 beta=90.00 gamma=90.00
Closest atoms and distances in Å follow each position.
Sites, in units of the cell vectors:
Th  0.5000  0.4195  0.0000  5 Rh 2.96-2.97, 6 Al 3.23-3.31
Al  0.0000  0.2299  0.2299  4 Rh 2.63-2.80, 2 Al 2.82
Rh  0.0000  0.6667  0.3333  3 Al 2.80, 6 Th 2.96
Al  0.0000  0.7701  0.0000  4 Rh 2.63-2.80, 2 Al 2.82
Al  0.0000  0.0000  0.7701  4 Rh 2.63-2.80, 2 Al 2.82
Rh  0.5000  0.0000  0.0000  6 Al 2.63
Rh  0.0000  0.3333  0.6667  3 Al 2.80, 6 Th 2.96
Th  0.5000  0.5805  0.5805  5 Rh 2.96-2.97, 6 Al 3.23-3.31
Th  0.5000  0.0000  0.4195  5 Rh 2.96-2.97, 6 Al 3.23-3.31

Calculated total energy   -68.93 eV for the cell shown
Crystal system   hexagonal
ΔE_f   -0.880 eV per atom

Material: K2AlCdBr
Method: DFT, PBEsol
State: optimized geometry

Unit cell a=5.7218 b=6.5002 c=6.5002 alpha=90.00 beta=90.00 gamma=90.00
Closest atoms and distances in Å follow each position.
Sites, in units of the cell vectors:
Cd  0.0000  0.0000  0.0000  2 Br 2.86
Al  0.5000  0.5000  0.5000  8 K 4.33, 4 Br 4.60
K  0.0000  0.0000  0.5000  2 Cd 3.25
K  0.0000  0.5000  0.0000  2 Cd 3.25
Br  0.5000  0.0000  0.0000  2 Cd 2.86

Calculated total energy   -7.89 eV for the cell shown
Crystal system   tetragonal
Uncorrected formation energy   0.307 eV per atom

Material: HfBeIr2
Method: DFT, PBEsol
State: optimized geometry

Unit cell a=4.3202 b=4.3202 c=4.3202 alpha=60.00 beta=60.00 gamma=60.00
Closest atoms and distances in Å follow each position.
Sites, in units of the cell vectors:
Ir  0.2500  0.2500  0.2500  4 Be 2.65, 4 Hf 2.65
Hf  0.5000  0.5000  0.5000  8 Ir 2.65
Be  0.0000  0.0000  0.0000  8 Ir 2.65
Ir  0.7500  0.7500  0.7500  4 Hf 2.65, 4 Be 2.65

Calculated total energy   -37.00 eV for the cell shown
Crystal system   cubic
ΔE_f   -0.711 eV per atom

Material: Mn2ZnSi
Method: DFT, PBEsol
State: optimized geometry

Unit cell a=4.0312 b=4.0312 c=4.0312 alpha=60.00 beta=60.00 gamma=60.00
Closest atoms and distances in Å follow each position.
Sites, in units of the cell vectors:
Si  0.5000  0.5000  0.5000  4 Mn 2.47, 4 Zn 2.47
Zn  0.2500  0.2500  0.2500  4 Si 2.47, 4 Mn 2.47
Mn  0.7500  0.7500  0.7500  4 Mn 2.47, 4 Si 2.47
Mn  0.0000  0.0000  0.0000  4 Zn 2.47, 4 Mn 2.47

Calculated total energy   -26.79 eV for the cell shown
Crystal system   cubic
Uncorrected formation energy   0.015 eV per atom